[1]
Compound: Sm2DyO3
Source: the Open Quantum Materials Database
Functional: PBE-GGA
Structure: relaxed

Calculated values
- density (Mg/m³) = 9.666
- raw total energy (Ha/atom) = -0.2792

Cell lengths 3.4421, 3.4421, 8.5591 Å; angles 90.00, 90.00, 120.00 degrees
Atoms (fractional coordinates):
Dy (0.0000, 0.0000, 0.0000)
O (0.3333, 0.6667, 0.1469)
O (0.0000, 0.0000, 0.5000)
O (0.6667, 0.3333, 0.8531)
Sm (0.6667, 0.3333, 0.3314)
Sm (0.3333, 0.6667, 0.6686)


[2]
Compound: BeZnAsO
Source: the Open Quantum Materials Database
Functional: PBE-GGA
Structure: relaxed

Calculated values
- energy above the most stable polymorph in this dataset (meV per atom) = 0
- density (Mg/m³) = 5.179
- raw total energy (Ha/atom) = -0.1711

Cell lengths 2.7877, 6.2799, 6.0570 Å; angles 90.00, 90.00, 90.00 degrees
Atoms (fractional coordinates):
As (0.0000, 0.8729, 0.3312)
As (0.0000, 0.1271, 0.8312)
Be (0.0000, 0.2241, 0.4625)
Be (0.0000, 0.7759, 0.9625)
O (0.5000, 0.3394, 0.3981)
O (0.5000, 0.6606, 0.8981)
Zn (0.5000, 0.3717, 0.0622)
Zn (0.5000, 0.6283, 0.5622)


[3]
Compound: LaGd2Mg3CdIn2
Source: the Open Quantum Materials Database
Functional: PBE-GGA
Structure: relaxed

Calculated values
- density (Mg/m³) = 6.004
- raw total energy (Ha/atom) = -0.1172

Cell lengths 4.7259, 7.6881, 7.6881 Å; angles 120.71, 90.00, 90.00 degrees
Atoms (fractional coordinates):
Cd (0.0000, 0.9931, 0.9931)
Gd (0.0000, 0.5780, 0.0016)
Gd (0.0000, 0.0016, 0.5780)
In (0.5000, 0.6717, 0.3322)
In (0.5000, 0.3322, 0.6717)
La (0.0000, 0.4248, 0.4248)
Mg (0.5000, 0.9993, 0.2393)
Mg (0.5000, 0.7600, 0.7600)
Mg (0.5000, 0.2393, 0.9993)


[4]
Compound: SmTaIr
Source: the Open Quantum Materials Database
Functional: PBE-GGA
Structure: relaxed

Calculated values
- energy above the most stable polymorph in this dataset (meV per atom) = 0
- density (Mg/m³) = 12.338
- raw total energy (Ha/atom) = -0.3110
- calculated formation energy (eV/atom) = 0.01

Cell lengths 4.6361, 4.6361, 4.6361 Å; angles 60.00, 60.00, 60.00 degrees
Atoms (fractional coordinates):
Ir (0.0000, 0.0000, 0.0000)
Sm (0.7500, 0.7500, 0.7500)
Ta (0.2500, 0.2500, 0.2500)


[5]
Compound: CsGaAg
Source: the Open Quantum Materials Database
Functional: PBE-GGA
Structure: relaxed

Calculated values
- energy above the most stable polymorph in this dataset (meV per atom) = 17
- density (Mg/m³) = 4.458
- raw total energy (Ha/atom) = -0.0665

Cell lengths 5.4686, 5.4686, 5.4686 Å; angles 60.00, 60.00, 60.00 degrees
Atoms (fractional coordinates):
Ag (0.2500, 0.2500, 0.2500)
Cs (0.7500, 0.7500, 0.7500)
Ga (0.0000, 0.0000, 0.0000)


[6]
Compound: InFeWAu
Source: the Open Quantum Materials Database
Functional: PBE-GGA
Structure: relaxed

Calculated values
- energy above the most stable polymorph in this dataset (meV per atom) = 0
- density (Mg/m³) = 13.663
- raw total energy (Ha/atom) = -0.2315

Cell lengths 4.5595, 4.5595, 4.5595 Å; angles 60.00, 60.00, 60.00 degrees
Atoms (fractional coordinates):
Au (0.2500, 0.2500, 0.2500)
Fe (0.7500, 0.7500, 0.7500)
In (0.0000, 0.0000, 0.0000)
W (0.5000, 0.5000, 0.5000)


[7]
Compound: NaAgPdS3
Source: the Open Quantum Materials Database
Functional: PBE-GGA
Structure: relaxed

Calculated values
- density (Mg/m³) = 4.557
- raw total energy (Ha/atom) = -0.1421

Cell lengths 10.0732, 6.8127, 6.8127 Å; angles 148.68, 90.00, 90.00 degrees
Atoms (fractional coordinates):
Ag (0.2500, 0.5916, 0.4084)
Ag (0.7500, 0.4084, 0.5916)
Na (0.7500, 0.7153, 0.2848)
Na (0.2500, 0.2848, 0.7153)
Pd (0.0000, 0.0000, 0.0000)
Pd (0.5000, 0.0000, 0.0000)
S (0.2500, 0.9483, 0.0518)
S (0.0146, 0.6215, 0.3785)
S (0.4854, 0.6215, 0.3785)
S (0.5146, 0.3785, 0.6215)
S (0.9854, 0.3785, 0.6215)
S (0.7500, 0.0518, 0.9483)


[8]
Compound: NiC2
Source: the Open Quantum Materials Database
Functional: PBE-GGA
Structure: relaxed

Calculated values
- energy above the most stable polymorph in this dataset (meV per atom) = 232
- density (Mg/m³) = 2.114
- raw total energy (Ha/atom) = -0.2120

Cell lengths 5.6858, 5.6858, 5.6858 Å; angles 60.00, 60.00, 60.00 degrees
Atoms (fractional coordinates):
C (0.1250, 0.1250, 0.1250)
C (0.6250, 0.1250, 0.1250)
C (0.1250, 0.6250, 0.1250)
C (0.1250, 0.1250, 0.6250)
Ni (0.0000, 0.0000, 0.0000)
Ni (0.2500, 0.2500, 0.2500)